# 1
First-principles (GGA-PBE) data for crystalline Ba2AlBi3O8 at its relaxed geometry, as listed in the Alexandria database.

Cell: 4.3198 4.3198 13.6113 Å, 90.00 90.00 90.00°
Fractional positions:
1 Ba 0.5000 0.5000 0.1493
2 Ba 0.5000 0.5000 0.8507
3 Al 0.5000 0.5000 0.5000
4 Bi 0.0000 0.0000 0.3502
5 Bi 0.0000 0.0000 0.0000
6 Bi 0.0000 0.0000 0.6498
7 O 0.0000 0.5000 0.4061
8 O 0.5000 0.0000 0.4061
9 O 0.5000 0.0000 0.0000
10 O 0.0000 0.0000 0.1768
11 O 0.0000 0.5000 0.5939
12 O 0.5000 0.0000 0.5939
13 O 0.0000 0.0000 0.8232
14 O 0.0000 0.5000 0.0000

Output
DFT total energy: -5.65 eV per atom
Volume: 18.14 A^3/atom

# 2
First-principles (GGA-PBE) data for crystalline HfTiCdSi2 at its relaxed geometry, as listed in the Alexandria database.

Cell: 5.0566 4.8881 5.0566 Å, 90.00 90.00 90.00°
Fractional positions:
1 Si 0.0000 0.0000 0.5000
2 Si 0.5000 0.0000 0.0000
3 Ti 0.0000 0.5000 0.0000
4 Hf 0.0000 0.0000 0.0000
5 Cd 0.5000 0.5000 0.5000

Output
DFT total energy: -5.01 eV per atom
Volume: 25.00 A^3/atom